# HfReTe2I

A relaxed structure of HfReTe2I (PBE-GGA, Alexandria via LeMat-Bulk).

Properties
formation energy without anion corrections	4.9	eV per formula unit
space group	P4/mmm (123)
E	-5.0577	eV per atom
total magnetization	5.709	μB per cell
offset from the most stable computed form	0.000	eV/atom

POSCAR file:
```
HfReTe2I
1.0
5.572 0.000 0.000
0.000 5.572 0.000
0.000 0.000 5.704
Hf Re Te I
1 1 2 1
direct
0.000 0.000 0.000
0.500 0.500 0.500
0.000 0.500 0.000
0.500 0.000 0.000
0.000 0.000 0.500
```